Run i
DFT (GGA-PBE) results for crystalline SrScTe2 at its relaxed geometry.

Output
M_tot, μB/cell: 0.92
Volume, A^3/atom: 28.88
SG: Fm-3m, No. 225

The structure in CIF format:
```
data_SrScTe2
_chemical_formula_sum 'Sr1 Sc1 Te2'
_cell_length_a 5.466
_cell_length_b 5.466
_cell_length_c 5.466
_cell_angle_alpha 60.00
_cell_angle_beta 60.00
_cell_angle_gamma 60.00
_symmetry_space_group_name_H-M 'P 1'
_symmetry_Int_Tables_number 1
loop_
_symmetry_equiv_pos_as_xyz
'x,y,z'
loop_
_atom_site_label
_atom_site_fract_x
_atom_site_fract_y
_atom_site_fract_z
Sc1 0.000 0.000 0.000
Sr1 0.500 0.500 0.500
Te1 0.250 0.250 0.250
Te2 0.750 0.750 0.750
```

---

Run ii
DFT (GGA-PBE) results for crystalline SrScTe2 at its relaxed geometry.

Output
M_tot, μB/cell: 0.88
Volume, A^3/atom: 29.42
SG: F-43m, No. 216

The structure in CIF format:
```
data_SrScTe2
_chemical_formula_sum 'Sr1 Sc1 Te2'
_cell_length_a 5.501
_cell_length_b 5.501
_cell_length_c 5.501
_cell_angle_alpha 60.00
_cell_angle_beta 60.00
_cell_angle_gamma 60.00
_symmetry_space_group_name_H-M 'P 1'
_symmetry_Int_Tables_number 1
loop_
_symmetry_equiv_pos_as_xyz
'x,y,z'
loop_
_atom_site_label
_atom_site_fract_x
_atom_site_fract_y
_atom_site_fract_z
Sc1 0.500 0.500 0.500
Sr1 0.750 0.750 0.750
Te1 0.000 0.000 0.000
Te2 0.250 0.250 0.250
```

---

Computed stability ranking, most favorable first: run i, run ii